No. 1
Here is an optimized crystal structure of RbCeEr2 from Alexandria. Energies are from PBE-GGA.

DFT formation energy = 918 meV per atom
magnetic moment = 4.99 Bohr magnetons per cell
VASP energy = -37.063 eV for the cell shown
volume = 532.6 Å³ per cell

Geometry as CIF:
```
data_RbCeEr2
_chemical_formula_sum 'Rb3 Ce3 Er6'
_cell_length_a 4.3047
_cell_length_b 4.3047
_cell_length_c 33.1901
_cell_angle_alpha 90.00
_cell_angle_beta 90.00
_cell_angle_gamma 120.00
_space_group_name_H-M_alt 'R -3 m'
_space_group_IT_number 166
_space_group_name_Hall '-R 3 2"'
loop_
_atom_site_label
_atom_site_type_symbol
_atom_site_fract_x
_atom_site_fract_y
_atom_site_fract_z
Rb1 Rb 0.0000 0.0000 0.0000
Ce1 Ce 0.0000 0.0000 0.5000
Er1 Er 0.0000 0.0000 0.1177
```

=====

No. 2
Here is an optimized crystal structure of ThScAg from Alexandria. Energies are from PBE-GGA.

DFT formation energy = -100 meV per atom
magnetic moment = 0.00 Bohr magnetons per cell
energy above the lowest structure with this stoichiometry = 0 meV/atom
VASP energy = -33.805 eV for the cell shown
volume = 150.9 Å³ per cell

Geometry as CIF:
```
data_ThScAg
_chemical_formula_sum 'Th2 Sc2 Ag2'
_cell_length_a 3.4568
_cell_length_b 3.4568
_cell_length_c 12.6261
_cell_angle_alpha 90.00
_cell_angle_beta 90.00
_cell_angle_gamma 90.00
_space_group_name_H-M_alt 'I 4 m m'
_space_group_IT_number 107
_space_group_name_Hall 'I 4 -2'
loop_
_atom_site_label
_atom_site_type_symbol
_atom_site_fract_x
_atom_site_fract_y
_atom_site_fract_z
Th1 Th 0.0000 0.0000 0.0000
Sc1 Sc 0.0000 0.0000 0.3131
Ag1 Ag 0.0000 0.0000 0.6822
```

=====

No. 3
Here is an optimized crystal structure of Pr2Y3Er8 from Alexandria. Energies are from PBE-GGA.

DFT formation energy = 248 meV per atom
magnetic moment = 0.00 Bohr magnetons per cell
VASP energy = -124.473 eV for the cell shown
volume = 873.3 Å³ per cell

Geometry as CIF:
```
data_Pr2Y3Er8
_chemical_formula_sum 'Pr4 Y6 Er16'
_cell_length_a 7.5907
_cell_length_b 20.8719
_cell_length_c 5.5119
_cell_angle_alpha 90.00
_cell_angle_beta 90.00
_cell_angle_gamma 90.00
_space_group_name_H-M_alt 'C m m m'
_space_group_IT_number 65
_space_group_name_Hall '-C 2 2'
loop_
_atom_site_label
_atom_site_type_symbol
_atom_site_fract_x
_atom_site_fract_y
_atom_site_fract_z
Pr1 Pr 0.0000 0.2404 0.0000
Y1 Y 0.0000 0.0000 0.0000
Y2 Y 0.2136 0.5000 0.5000
Er1 Er 0.0000 0.1281 0.5000
Er2 Er 0.0000 0.3394 0.5000
Er3 Er 0.2135 0.3926 0.0000
```

=====

No. 4
Here is an optimized crystal structure of DyTcO4F from Alexandria. Energies are from PBE-GGA.

magnetic moment = 4.02 Bohr magnetons per cell
VASP energy = -214.095 eV for the cell shown
volume = 459.5 Å³ per cell

Geometry as CIF:
```
data_DyTcO4F
_chemical_formula_sum 'Dy4 Tc4 O16 F4'
_cell_length_a 9.6031
_cell_length_b 7.1732
_cell_length_c 6.9404
_cell_angle_alpha 90.00
_cell_angle_beta 106.02
_cell_angle_gamma 90.00
_space_group_name_H-M_alt 'C 1 2/m 1'
_space_group_IT_number 12
loop_
_space_group_symop_operation_xyz
'x,y,z'
'-x,-y,-z'
'-x,y,-z'
'x,-y,z'
'x+1/2,y+1/2,z'
'-x+1/2,-y+1/2,-z'
'-x+1/2,y+1/2,-z'
'x+1/2,-y+1/2,z'
loop_
_atom_site_label
_atom_site_type_symbol
_atom_site_fract_x
_atom_site_fract_y
_atom_site_fract_z
Dy1 Dy 0.1995 0.0000 0.0902
Tc1 Tc 0.1469 0.5000 0.2937
O1 O 0.0422 0.5000 0.7653
O2 O 0.2076 0.3173 0.1505
O3 O 0.2489 0.5000 0.5438
F1 F 0.0101 0.0000 0.8255
```

=====

No. 5
Here is an optimized crystal structure of KNa3Fe from Alexandria. Energies are from PBE-GGA.

DFT formation energy = 663 meV per atom
magnetic moment = 2.83 Bohr magnetons per cell
energy above the lowest structure with this stoichiometry = 0 meV/atom
VASP energy = -10.203 eV for the cell shown
volume = 197.8 Å³ per cell

Geometry as CIF:
```
data_KNa3Fe
_chemical_formula_sum 'K1 Na3 Fe1'
_cell_length_a 5.8267
_cell_length_b 5.8267
_cell_length_c 5.8267
_cell_angle_alpha 90.00
_cell_angle_beta 90.00
_cell_angle_gamma 90.00
_space_group_name_H-M_alt 'P m -3 m'
_space_group_IT_number 221
_space_group_name_Hall '-P 4 2 3'
loop_
_atom_site_label
_atom_site_type_symbol
_atom_site_fract_x
_atom_site_fract_y
_atom_site_fract_z
K1 K 0.0000 0.0000 0.0000
Na1 Na 0.0000 0.5000 0.5000
Fe1 Fe 0.5000 0.5000 0.5000
```

=====

No. 6
Here is an optimized crystal structure of AcRuPbO6 from Alexandria. Energies are from PBE-GGA.

magnetic moment = 0.65 Bohr magnetons per cell
VASP energy = -59.879 eV for the cell shown
volume = 146.3 Å³ per cell

Geometry as CIF:
```
data_AcRuPbO6
_chemical_formula_sum 'Ac1 Ru1 Pb1 O6'
_cell_length_a 5.8828
_cell_length_b 5.8828
_cell_length_c 4.8810
_cell_angle_alpha 90.00
_cell_angle_beta 90.00
_cell_angle_gamma 120.00
_space_group_name_H-M_alt 'P 3 1 2'
_space_group_IT_number 149
loop_
_space_group_symop_operation_xyz
'x,y,z'
'-y,x-y,z'
'-x+y,-x,z'
'-y,-x,-z'
'-x+y,y,-z'
'x,x-y,-z'
loop_
_atom_site_label
_atom_site_type_symbol
_atom_site_fract_x
_atom_site_fract_y
_atom_site_fract_z
Ac1 Ac 0.0000 0.0000 0.0000
Ru1 Ru 0.3333 0.6667 0.0000
Pb1 Pb 0.6667 0.3333 0.5000
O1 O 0.0631 0.3964 0.2230
```

=====

No. 7
Here is an optimized crystal structure of KBPt3 from Alexandria. Energies are from PBE-GGA.

DFT formation energy = -66 meV per atom
magnetic moment = 0.00 Bohr magnetons per cell
VASP energy = -104.901 eV for the cell shown
volume = 337.2 Å³ per cell

Geometry as CIF:
```
data_KBPt3
_chemical_formula_sum 'K4 B4 Pt12'
_cell_length_a 6.0499
_cell_length_b 9.0403
_cell_length_c 6.1658
_cell_angle_alpha 90.00
_cell_angle_beta 90.00
_cell_angle_gamma 90.00
_space_group_name_H-M_alt 'I m m a'
_space_group_IT_number 74
_space_group_name_Hall '-I 2b 2'
loop_
_atom_site_label
_atom_site_type_symbol
_atom_site_fract_x
_atom_site_fract_y
_atom_site_fract_z
K1 K 0.0000 0.2500 0.0690
B1 B 0.0000 0.0000 0.5000
Pt1 Pt 0.0000 0.2500 0.5632
Pt2 Pt 0.2500 0.0278 0.7500
```

=====

No. 8
Here is an optimized crystal structure of YRu3C from Alexandria. Energies are from PBE-GGA.

DFT formation energy = 199 meV per atom
magnetic moment = 0.00 Bohr magnetons per cell
VASP energy = -170.073 eV for the cell shown
volume = 307.7 Å³ per cell

Geometry as CIF:
```
data_YRu3C
_chemical_formula_sum 'Y4 Ru12 C4'
_cell_length_a 5.4068
_cell_length_b 7.1100
_cell_length_c 8.0047
_cell_angle_alpha 90.00
_cell_angle_beta 90.00
_cell_angle_gamma 90.00
_space_group_name_H-M_alt 'P n m a'
_space_group_IT_number 62
loop_
_space_group_symop_operation_xyz
'x,y,z'
'-x,-y,-z'
'-x+1/2,-y,z+1/2'
'x+1/2,y,-z+1/2'
'x+1/2,-y+1/2,-z+1/2'
'-x+1/2,y+1/2,z+1/2'
'-x,y+1/2,-z'
'x,-y+1/2,z'
loop_
_atom_site_label
_atom_site_type_symbol
_atom_site_fract_x
_atom_site_fract_y
_atom_site_fract_z
Y1 Y 0.0000 0.0000 0.0000
Ru1 Ru 0.0206 0.0791 0.3584
Ru2 Ru 0.2056 0.2500 0.7243
C1 C 0.1058 0.7500 0.4432
```